VASP calculation (PBE with a Hubbard U) on an optimized crystal structure of CoOsPb2O6.

Lattice parameters (Å, degrees): 7.926 7.926 7.926 90.00 90.00 90.00
Space group Fm-3m (No. 225)
Symmetry-distinct sites (fractional):
Co1 0.000 0.000 0.000 [4 per cell]
Os1 0.000 0.000 0.500 [4 per cell]
Pb1 0.250 0.250 0.250 [8 per cell]
O1 0.000 0.000 0.257 [24 per cell]

Relative energy among the computed polymorphs ... 0.073 eV per atom
VASP energy ... -252.414 eV/cell